## MgZr2Ru (PBE)

Data for a relaxed structure of MgZr2Ru.

The space group is P4/mmm (No. 123) and the conventional cell measures 3.3188, 3.3188 and 7.1630 Å, with angles of 90.00, 90.00 and 90.00 degrees. The distinct sites, in fractional coordinates, are Mg at (0.0000, 0.0000, 0.0000), Zr at (0.5000, 0.5000, 0.2759) and Ru at (0.0000, 0.0000, 0.5000).

The calculation puts the formation energy at -0.2414 eV/atom. The final energy is -7.2331 eV/atom.